First-principles (GGA+U) data for an optimized crystal structure of BaInMoO6, as listed in the Alexandria database.

Geometry as POSCAR:
```
BaInMoO6
1.0
5.587 0.000 0.000
-2.793 4.838 0.000
0.000 0.000 5.588
Ba In Mo O
1 1 1 6
Cartesian
0.000 0.000 0.000
2.793 1.613 2.794
0.000 3.225 2.794
-0.980 1.975 1.665
-1.573 3.002 3.924
0.980 1.975 3.924
-0.593 4.699 1.665
1.573 3.002 1.665
0.593 4.699 3.924
```

Output
**Raw total energy**: -6.326 eV per atom